VASP calculation (PBE with a Hubbard U) on crystalline Cd2CoTeO at its relaxed geometry.

## Properties
* symmetry: P4/mmm
* energy: -2.137 eV per atom
* calculated density: 4.52 g cm⁻³

```
Cd2CoTeO
1.0
-0.716 -5.507 -1.184
4.676 -0.840 1.078
-1.423 -0.978 5.409
O Cd Co Te
1 2 1 1
Cartesian
1.269 -3.663 2.651 O
-0.711 -0.489 2.705 Cd
-0.358 -2.753 -0.592 Cd
2.338 -0.420 0.539 Co
0.000 0.000 0.000 Te
```